i) The following is a DFT calculation (GGA-PBE) of crystalline InCoAsSe2 at its relaxed geometry.

Cell lengths 5.301, 5.301, 5.159 Å; angles 90.00, 90.00, 90.00 degrees
Space group P4/mmm (No. 123)
Inequivalent atoms, fractional coordinates:
In1 0.000 0.000 0.000 (multiplicity 1)
Co1 0.500 0.500 0.500 (multiplicity 1)
As1 0.000 0.000 0.500 (multiplicity 1)
Se1 0.000 0.500 0.000 (multiplicity 2)

ii) The following is a DFT calculation (GGA-PBE) of crystalline InCoAsSe2 at its relaxed geometry.

Cell lengths 4.956, 4.956, 4.363 Å; angles 90.00, 90.00, 90.00 degrees
Space group P4/mmm (No. 123)
Inequivalent atoms, fractional coordinates:
In1 0.000 0.000 0.000 (multiplicity 1)
Co1 0.500 0.500 0.500 (multiplicity 1)
As1 0.500 0.500 0.000 (multiplicity 1)
Se1 0.000 0.500 0.500 (multiplicity 2)

Most stable structure: ii)

i) The following is a DFT calculation (GGA-PBE) of crystalline CoAs2Ir at its relaxed geometry.

Cell lengths 2.9665, 2.9665, 22.6625 Å; angles 90.00, 90.00, 120.00 degrees
Space group R-3m (No. 166, hexagonal axes)
Inequivalent atoms, fractional coordinates:
Co1 0.0000 0.0000 0.0000 (multiplicity 3)
As1 0.0000 0.0000 0.2560 (multiplicity 6)
Ir1 0.0000 0.0000 0.5000 (multiplicity 3)

ii) The following is a DFT calculation (GGA-PBE) of crystalline CoAs2Ir at its relaxed geometry.

Cell lengths 6.082, 6.375, 3.041 Å; angles 90.00, 90.00, 90.00 degrees
Space group Cmmm (No. 65)
Inequivalent atoms, fractional coordinates:
Co1 0.000 0.000 0.000 (multiplicity 2)
As1 0.250 0.250 0.500 (multiplicity 4)
Ir1 0.000 0.500 0.000 (multiplicity 2)

Most stable structure: i)

i) The following is a DFT calculation (GGA-PBE) of crystalline CoAs2Ir at its relaxed geometry.

Cell lengths 3.027, 4.063, 4.959 Å; angles 90.00, 90.00, 90.00 degrees
Space group Pmmm (No. 47)
Inequivalent atoms, fractional coordinates:
Co1 0.000 0.000 0.000 (multiplicity 1)
As1 0.000 0.500 0.500 (multiplicity 1)
As2 0.500 0.500 0.000 (multiplicity 1)
Ir1 0.500 0.000 0.500 (multiplicity 1)

ii) The following is a DFT calculation (GGA-PBE) of crystalline CoAs2Ir at its relaxed geometry.

Cell lengths 3.817, 3.785, 5.880 Å; angles 90.00, 93.97, 90.00 degrees
Space group Pm (No. 6)
Inequivalent atoms, fractional coordinates:
Co1 0.000 0.000 0.000 (multiplicity 1)
As1 0.027 0.500 0.251 (multiplicity 1)
As2 0.473 0.000 0.751 (multiplicity 1)
Ir1 0.501 0.500 0.003 (multiplicity 1)

iii) The following is a DFT calculation (GGA-PBE) of crystalline CoAs2Ir at its relaxed geometry.

Cell lengths 5.352, 5.352, 10.868 Å; angles 90.00, 90.00, 90.00 degrees
Space group I-42d (No. 122)
Inequivalent atoms, fractional coordinates:
Co1 0.000 0.000 0.000 (multiplicity 4)
As1 0.230 0.250 0.125 (multiplicity 8)
Ir1 0.000 0.000 0.500 (multiplicity 4)

iv) The following is a DFT calculation (GGA-PBE) of crystalline CoAs2Ir at its relaxed geometry.

Cell lengths 6.178, 6.178, 6.178 Å; angles 90.00, 90.00, 90.00 degrees
Space group Fm-3m (No. 225)
Inequivalent atoms, fractional coordinates:
Co1 0.000 0.000 0.000 (multiplicity 4)
As1 0.250 0.250 0.250 (multiplicity 8)
Ir1 0.000 0.000 0.500 (multiplicity 4)

Most stable structure: ii)

i) The following is a DFT calculation (GGA-PBE) of crystalline CoAsIrSe2 at its relaxed geometry.

Cell lengths 5.071, 5.071, 4.563 Å; angles 90.00, 90.00, 90.00 degrees
Space group P4/mmm (No. 123)
Inequivalent atoms, fractional coordinates:
Co1 0.000 0.000 0.000 (multiplicity 1)
As1 0.500 0.500 0.500 (multiplicity 1)
Ir1 0.500 0.500 0.000 (multiplicity 1)
Se1 0.000 0.500 0.500 (multiplicity 2)

ii) The following is a DFT calculation (GGA-PBE) of crystalline CoAsIrSe2 at its relaxed geometry.

Cell lengths 4.588, 4.588, 4.357 Å; angles 90.00, 90.00, 90.00 degrees
Space group P4/mmm (No. 123)
Inequivalent atoms, fractional coordinates:
Co1 0.000 0.000 0.000 (multiplicity 1)
As1 0.000 0.000 0.500 (multiplicity 1)
Ir1 0.500 0.500 0.500 (multiplicity 1)
Se1 0.000 0.500 0.000 (multiplicity 2)

Most stable structure: ii)

i) The following is a DFT calculation (GGA-PBE) of crystalline KCoAs3 at its relaxed geometry.

Cell lengths 5.323, 5.323, 5.323 Å; angles 90.00, 90.00, 90.00 degrees
Space group Pm-3m (No. 221)
Inequivalent atoms, fractional coordinates:
K1 0.000 0.000 0.000 (multiplicity 1)
Co1 0.500 0.500 0.500 (multiplicity 1)
As1 0.000 0.000 0.500 (multiplicity 3)

ii) The following is a DFT calculation (GGA-PBE) of crystalline KCoAs3 at its relaxed geometry.

Cell lengths 4.773, 4.773, 4.773 Å; angles 90.00, 90.00, 90.00 degrees
Space group Pm-3m (No. 221)
Inequivalent atoms, fractional coordinates:
K1 0.000 0.000 0.000 (multiplicity 1)
Co1 0.500 0.500 0.500 (multiplicity 1)
As1 0.000 0.500 0.500 (multiplicity 3)

Most stable structure: ii)

i) The following is a DFT calculation (GGA-PBE) of crystalline KCoAsW2 at its relaxed geometry.

Cell lengths 4.703, 4.703, 4.688 Å; angles 90.00, 90.00, 90.00 degrees
Space group P4/mmm (No. 123)
Inequivalent atoms, fractional coordinates:
K1 0.000 0.000 0.000 (multiplicity 1)
Co1 0.500 0.500 0.500 (multiplicity 1)
As1 0.500 0.500 0.000 (multiplicity 1)
W1 0.000 0.500 0.500 (multiplicity 2)

ii) The following is a DFT calculation (GGA-PBE) of crystalline KCoAsW2 at its relaxed geometry.

Cell lengths 4.496, 4.496, 4.984 Å; angles 90.00, 90.00, 90.00 degrees
Space group P4/mmm (No. 123)
Inequivalent atoms, fractional coordinates:
K1 0.000 0.000 0.000 (multiplicity 1)
Co1 0.500 0.500 0.500 (multiplicity 1)
As1 0.000 0.000 0.500 (multiplicity 1)
W1 0.000 0.500 0.000 (multiplicity 2)

Most stable structure: i)